1.
TiNb2Sb after structural relaxation. Source: Alexandria via LeMat-Bulk, functional PBE. Values from VASP.

Cell and atoms, written as Quantum ESPRESSO input:
```
&SYSTEM
  ibrav = 0, nat = 4, ntyp = 3
/
ATOMIC_SPECIES
Ti 47.87 Ti.upf
Nb 92.91 Nb.upf
Sb 121.76 Sb.upf
CELL_PARAMETERS angstrom
4.0831 0.0000 0.0000
0.0000 4.0831 0.0000
0.0000 0.0000 4.4191
ATOMIC_POSITIONS crystal
Ti 0.0000 0.0000 0.0000
Nb 0.0000 0.5000 0.5000
Nb 0.5000 0.0000 0.5000
Sb 0.5000 0.5000 0.0000
```

Computed properties:
The energy relative to the elements, uncorrected is -0.242 eV per atom. The space group is P4/mmm.


2.
Ti5NbSb4 after structural relaxation. Source: Alexandria via LeMat-Bulk, functional PBE. Values from VASP.

Cell and atoms, written as Quantum ESPRESSO input:
```
&SYSTEM
  ibrav = 0, nat = 20, ntyp = 3
/
ATOMIC_SPECIES
Ti 47.87 Ti.upf
Nb 92.91 Nb.upf
Sb 121.76 Sb.upf
CELL_PARAMETERS angstrom
8.5274 0.0000 0.0000
0.0000 9.6852 0.0000
0.0000 0.0000 4.9650
ATOMIC_POSITIONS crystal
Ti 0.0804 0.0124 0.2467
Ti 0.0804 0.4876 0.2467
Ti 0.2500 0.7500 0.4872
Ti 0.4196 0.0124 0.2467
Ti 0.4196 0.4876 0.2467
Ti 0.5804 0.5124 0.7533
Ti 0.5804 0.9876 0.7533
Ti 0.7500 0.2500 0.5128
Ti 0.9196 0.5124 0.7533
Ti 0.9196 0.9876 0.7533
Nb 0.2500 0.2500 0.2785
Nb 0.7500 0.7500 0.7215
Sb 0.0649 0.7500 0.9843
Sb 0.2500 0.0563 0.7325
Sb 0.2500 0.4437 0.7325
Sb 0.4351 0.7500 0.9843
Sb 0.5649 0.2500 0.0157
Sb 0.7500 0.5563 0.2675
Sb 0.7500 0.9437 0.2675
Sb 0.9351 0.2500 0.0157
```

Computed properties:
The energy relative to the elements, uncorrected is -0.155 eV per atom. The space group is Pmmn.


3.
TiNbSb after structural relaxation. Source: Alexandria via LeMat-Bulk, functional PBE. Values from VASP.

Cell and atoms, written as Quantum ESPRESSO input:
```
&SYSTEM
  ibrav = 0, nat = 6, ntyp = 3
/
ATOMIC_SPECIES
Ti 47.87 Ti.upf
Nb 92.91 Nb.upf
Sb 121.76 Sb.upf
CELL_PARAMETERS angstrom
3.4126 0.0000 0.0000
-1.2270 5.0462 0.0000
-0.1193 -2.4024 7.0868
ATOMIC_POSITIONS crystal
Ti 0.1260 0.2587 0.2925
Ti 0.8740 0.7413 0.7075
Nb 0.3072 0.7612 0.0293
Nb 0.6928 0.2388 0.9707
Sb 0.2084 0.2852 0.6770
Sb 0.7916 0.7148 0.3230
```

Computed properties:
The energy relative to the elements, uncorrected is -0.194 eV per atom. The space group is P-1.